Record 1
A plane-wave DFT calculation with PBE was carried out for an optimized crystal structure of Ag4TeOs.

Cell lengths 5.4567, 5.4567, 5.4567 Å; angles 60.00, 60.00, 60.00 degrees
Positions (direct):
Ag 0.1245 0.1245 0.1245
Ag 0.1245 0.1245 0.6266
Ag 0.1245 0.6266 0.1245
Ag 0.6266 0.1245 0.1245
Te 0.5000 0.5000 0.5000
Os 0.7500 0.7500 0.7500

Formation energy from raw total energies: 0.80 eV per atom



Record 2
A plane-wave DFT calculation with PBE was carried out for an optimized crystal structure of Cd8InSn2.

Cell lengths 8.8222, 8.8222, 4.9014 Å; angles 98.09, 98.09, 128.10 degrees
Positions (direct):
Cd 0.1053 0.3120 0.6212
Cd 0.1975 0.8025 0.0000
Cd 0.3120 0.1053 0.6212
Cd 0.3988 0.3988 0.1986
Cd 0.6012 0.6012 0.8014
Cd 0.6880 0.8947 0.3788
Cd 0.8025 0.1975 0.0000
Cd 0.8947 0.6880 0.3788
In 0.0000 0.0000 0.0000
Sn 0.2993 0.7007 0.5000
Sn 0.7007 0.2993 0.5000

ΔE_f: 94 meV/atom



Record 3
A plane-wave DFT calculation with PBE was carried out for an optimized crystal structure of La2HgC.

Cell lengths 8.7970, 8.7970, 8.7970 Å; angles 24.72, 24.72, 24.72 degrees
Positions (direct):
La 0.2243 0.2243 0.2243
La 0.7757 0.7757 0.7757
Hg 0.0000 0.0000 0.0000
C 0.5000 0.5000 0.5000

ΔE_f: -227 meV/atom



Record 4
A plane-wave DFT calculation with PBE was carried out for an optimized crystal structure of CsPt2O3.

Cell lengths 7.4918, 7.4918, 7.4918 Å; angles 50.60, 50.60, 50.60 degrees
Positions (direct):
Cs 0.1795 0.1795 0.1795
Cs 0.8205 0.8205 0.8205
Pt 0.0000 0.0000 0.0000
Pt 0.0000 0.5000 0.5000
Pt 0.5000 0.0000 0.5000
Pt 0.5000 0.5000 0.0000
O 0.2165 0.2165 0.7110
O 0.2165 0.7110 0.2165
O 0.2890 0.7835 0.7835
O 0.7110 0.2165 0.2165
O 0.7835 0.2890 0.7835
O 0.7835 0.7835 0.2890

Formation energy from raw total energies: -0.72 eV per atom